Ce3Ir2Au after structural relaxation. Source: Alexandria, functional PBE-GGA.

Properties
The value obtained for the calculated density is 11.2 g/cm3. The calculation puts the electronic total energy at -85.97 eV for the cell shown. As for the formation enthalpy at 0 K: -404 kJ/mol of formula units.

a b c (Å): 7.176 7.176 8.155
angles (deg): 106.54 106.54 47.98
Element x y z (fractional)
Ce 0.001 0.999 0.750
Ce 0.316 0.317 0.908
Ce 0.317 0.316 0.408
Ce 0.683 0.684 0.592
Ce 0.684 0.683 0.092
Ce 0.999 0.001 0.250
Ir 0.160 0.161 0.580
Ir 0.161 0.160 0.080
Ir 0.839 0.840 0.920
Ir 0.840 0.839 0.420
Au 0.499 0.501 0.250
Au 0.501 0.499 0.750

---

Ce4Ir2Au after structural relaxation. Source: Alexandria, functional PBE-GGA.

Properties
The value obtained for the calculated density is 11.0 g/cm3. The calculation puts the electronic total energy at -98.54 eV for the cell shown. As for the formation enthalpy at 0 K: -437 kJ/mol of formula units.

a b c (Å): 7.657 7.657 7.657
angles (deg): 108.61 108.61 111.20
Element x y z (fractional)
Ce 0.010 0.395 0.253
Ce 0.141 0.756 0.747
Ce 0.145 0.260 0.753
Ce 0.244 0.990 0.385
Ce 0.506 0.391 0.247
Ce 0.605 0.859 0.615
Ce 0.609 0.855 0.115
Ce 0.740 0.494 0.885
Ir 0.239 0.625 0.114
Ir 0.375 0.489 0.614
Ir 0.511 0.125 0.886
Ir 0.875 0.761 0.386
Au 0.000 0.000 0.000
Au 0.750 0.250 0.500

---

Ce8Ir3Au2 after structural relaxation. Source: Alexandria, functional PBE-GGA.

Properties
The value obtained for the calculated density is 9.9 g/cm3. The calculation puts the electronic total energy at -86.41 eV for the cell shown. As for the formation enthalpy at 0 K: -560 kJ/mol of formula units.

a b c (Å): 8.817 8.817 4.741
angles (deg): 90.00 90.00 108.41
Element x y z (fractional)
Ce 0.099 0.901 0.000
Ce 0.140 0.380 0.500
Ce 0.378 0.622 0.000
Ce 0.380 0.140 0.500
Ce 0.620 0.860 0.500
Ce 0.622 0.378 0.000
Ce 0.860 0.620 0.500
Ce 0.901 0.099 0.000
Ir 0.253 0.253 0.000
Ir 0.500 0.500 0.500
Ir 0.747 0.747 0.000
Au 0.235 0.765 0.500
Au 0.765 0.235 0.500

---

CeMgIrAu after structural relaxation. Source: Alexandria, functional PBE-GGA.

Properties
The value obtained for the calculated density is 11.3 g/cm3. The calculation puts the electronic total energy at -21.78 eV for the cell shown. As for the formation enthalpy at 0 K: -204 kJ/mol of formula units.

a b c (Å): 4.862 4.862 4.862
angles (deg): 60.00 60.00 60.00
Element x y z (fractional)
Ce 0.000 0.000 0.000
Mg 0.500 0.500 0.500
Ir 0.750 0.750 0.750
Au 0.250 0.250 0.250

---

CeNdIrAu after structural relaxation. Source: Alexandria, functional PBE-GGA.

Properties
The value obtained for the calculated density is 11.3 g/cm3. The calculation puts the electronic total energy at -25.86 eV for the cell shown. As for the formation enthalpy at 0 K: -291 kJ/mol of formula units.

a b c (Å): 4.130 6.368 6.368
angles (deg): 36.16 90.00 90.00
Element x y z (fractional)
Ce 0.000 0.000 0.000
Nd 0.500 0.281 0.281
Ir 0.500 0.525 0.525
Au 0.000 0.703 0.703

---

CeNdIrAu after structural relaxation. Source: Alexandria, functional PBE-GGA.

Properties
The value obtained for the calculated density is 11.9 g/cm3. The calculation puts the electronic total energy at -25.34 eV for the cell shown. As for the formation enthalpy at 0 K: -241 kJ/mol of formula units.

a b c (Å): 5.107 5.107 5.107
angles (deg): 60.00 60.00 60.00
Element x y z (fractional)
Ce 0.000 0.000 0.000
Nd 0.500 0.500 0.500
Ir 0.250 0.250 0.250
Au 0.750 0.750 0.750